VASP calculation (PBE) on a relaxed structure of LuNb6Cl18.

Lattice parameters (Å, degrees): 9.2812 9.2812 25.3310 90.00 90.00 120.00
Space group R-3 (No. 148, hexagonal axes)
Unique sites:
Lu 0.0000 0.0000 0.0000 x3
Nb 0.0426 0.2020 0.5479 x18
Cl 0.0328 0.2439 0.9414 x18
Cl 0.0489 0.2342 0.3895 x18
Cl 0.0533 0.2471 0.1676 x18

Summary:
- E_tot: -402.26 eV/cell